The following is a PBE-GGA calculation of an optimized crystal structure of LiZn2Tc, from Alexandria.

a = 3.928 Å, b = 3.928 Å, c = 3.555 Å
α = 90.00°, β = 90.00°, γ = 90.00°
Element x y z (fractional)
Li: 0.000 0.000 0.000
Zn: 0.000 0.500 0.500
Zn: 0.500 0.000 0.500
Tc: 0.500 0.500 0.000

Offset from the most stable computed form: 0.064 eV per atom
Symmetry: P4/mmm (123)
Size of the total moment: 0.0 μB/f.u.
Calculated total energy: -3.73 eV per atom